[1]
VASP calculation (PBE+U) on a relaxed NaNiHg2F6 crystal.

Calculated values
electronic total energy	-0.123	Ha/atom

Structure (CIF):
```
data_NaNiHg2F6
_cell_length_a 5.818
_cell_length_b 5.847
_cell_length_c 5.860
_cell_angle_alpha 60.35
_cell_angle_beta 60.44
_cell_angle_gamma 60.64
_symmetry_space_group_name_H-M 'P -1'
_symmetry_Int_Tables_number 2
_symmetry_space_group_name_Hall '-P 1'
loop_
_atom_site_label
_atom_site_type_symbol
_atom_site_fract_x
_atom_site_fract_y
_atom_site_fract_z
Na1 Na 0.000 0.000 0.000
Ni1 Ni 0.500 0.500 0.500
Hg1 Hg 0.250 0.251 0.269
F1 F 0.192 0.668 0.338
F2 F 0.267 0.273 0.856
F3 F 0.329 0.810 0.658
```

[2]
VASP calculation (PBE+U) on a relaxed NaNiHgF6 crystal.

Calculated values
electronic total energy	-0.131	Ha/atom

Structure (CIF):
```
data_NaNiHgF6
_cell_length_a 5.7049
_cell_length_b 5.7049
_cell_length_c 9.1849
_cell_angle_alpha 90.00
_cell_angle_beta 90.00
_cell_angle_gamma 120.00
_symmetry_space_group_name_H-M 'P -3 1 c'
_symmetry_Int_Tables_number 163
_symmetry_space_group_name_Hall '-P 3 2c'
loop_
_atom_site_label
_atom_site_type_symbol
_atom_site_fract_x
_atom_site_fract_y
_atom_site_fract_z
Na1 Na 0.0000 0.0000 0.0000
Ni1 Ni 0.3333 0.6667 0.2500
Hg1 Hg 0.3333 0.6667 0.7500
F1 F 0.0547 0.3839 0.1340
```